[1]
The following is a PBE calculation of a relaxed ReBiCl2 crystal, from Alexandria via LeMat-Bulk.

The calculation puts the total DFT energy (no corrections) at -3.910 eV/atom. The value obtained for the energy above the most stable polymorph in this dataset is 826 meV/atom. The formation energy without anion corrections is 1.10 eV/atom. The crystal system is cubic.

Cell: 4.973 4.973 4.973 Å, 60.00 60.00 60.00°
Sites, in units of the cell vectors:
Re: 0.000 0.000 0.000
Bi: 0.500 0.500 0.500
Cl: 0.250 0.250 0.250
Cl: 0.750 0.750 0.750

[2]
The following is a PBE calculation of a relaxed Sr4Tl3Pb4 crystal, from Alexandria via LeMat-Bulk.

The calculation puts the total DFT energy (no corrections) at -2.949 eV/atom. Its formation energy is -3.78 eV/f.u. The crystal system is triclinic.

Cell: 3.958 5.141 18.549 Å, 97.82 90.86 90.00°
Sites, in units of the cell vectors:
Sr: 0.009 0.054 0.107
Sr: 0.014 0.320 0.639
Sr: 0.986 0.680 0.361
Sr: 0.991 0.946 0.893
Tl: 0.393 0.142 0.284
Tl: 0.500 0.500 0.000
Tl: 0.607 0.858 0.716
Pb: 0.350 0.769 0.538
Pb: 0.456 0.405 0.812
Pb: 0.544 0.595 0.188
Pb: 0.650 0.231 0.462

[3]
The following is a PBE calculation of a relaxed Sr2GaNiOs crystal, from Alexandria via LeMat-Bulk.

The calculation puts the total DFT energy (no corrections) at -3.718 eV/atom. Its formation energy is 4.81 eV/f.u. The crystal system is tetragonal.

Cell: 5.864 5.864 4.291 Å, 90.00 90.00 90.00°
Sites, in units of the cell vectors:
Sr: 0.000 0.500 0.000
Sr: 0.500 0.000 0.000
Ga: 0.000 0.000 0.000
Ni: 0.000 0.000 0.500
Os: 0.500 0.500 0.500

[4]
The following is a PBE calculation of a relaxed RbTe2F crystal, from Alexandria via LeMat-Bulk.

The calculation puts the total DFT energy (no corrections) at -2.467 eV/atom. The value obtained for the energy above the most stable polymorph in this dataset is 956 meV/atom. The formation energy without anion corrections is -0.19 eV/atom. The crystal system is cubic.

Cell: 5.470 5.470 5.470 Å, 60.00 60.00 60.00°
Sites, in units of the cell vectors:
Rb: 0.000 0.000 0.000
Te: 0.250 0.250 0.250
Te: 0.750 0.750 0.750
F: 0.500 0.500 0.500

[5]
The following is a PBE calculation of a relaxed CaZnIn crystal, from Alexandria via LeMat-Bulk.

The calculation puts the total DFT energy (no corrections) at -1.808 eV/atom. Its formation energy is 0.59 eV/f.u. The crystal system is cubic.

Cell: 5.067 5.067 5.067 Å, 60.00 60.00 60.00°
Sites, in units of the cell vectors:
Ca: 0.000 0.000 0.000
Zn: 0.250 0.250 0.250
In: 0.750 0.750 0.750

[6]
The following is a PBE calculation of a relaxed ZnGaIr2 crystal, from Alexandria via LeMat-Bulk.

The calculation puts the total DFT energy (no corrections) at -5.832 eV/atom. Its formation energy is -1.30 eV/f.u. The value obtained for the energy above the most stable polymorph in this dataset is 10 meV/atom. The crystal system is tetragonal.

Cell: 4.292 4.292 3.057 Å, 90.00 90.00 90.00°
Sites, in units of the cell vectors:
Zn: 0.000 0.000 0.000
Ga: 0.500 0.500 0.000
Ir: 0.000 0.500 0.500
Ir: 0.500 0.000 0.500

[7]
The following is a PBE calculation of a relaxed YGaSi3 crystal, from Alexandria via LeMat-Bulk.

The calculation puts the total DFT energy (no corrections) at -4.683 eV/atom. The value obtained for the energy above the most stable polymorph in this dataset is 0 meV/atom. The formation energy without anion corrections is 0.47 eV/atom. The crystal system is cubic.

Cell: 4.778 4.778 4.778 Å, 90.00 90.00 90.00°
Sites, in units of the cell vectors:
Y: 0.000 0.000 0.000
Ga: 0.500 0.500 0.500
Si: 0.000 0.500 0.500
Si: 0.500 0.000 0.500
Si: 0.500 0.500 0.000

[8]
The following is a PBE calculation of a relaxed YMg2Cu crystal, from Alexandria via LeMat-Bulk.

The calculation puts the total DFT energy (no corrections) at -3.399 eV/atom. Its formation energy is 0.15 eV/f.u. The crystal system is hexagonal.

Cell: 4.444 4.444 10.580 Å, 90.00 90.00 120.00°
Sites, in units of the cell vectors:
Y: 0.333 0.667 0.250
Y: 0.667 0.333 0.750
Mg: 0.333 0.667 0.573
Mg: 0.333 0.667 0.927
Mg: 0.667 0.333 0.073
Mg: 0.667 0.333 0.427
Cu: 0.000 0.000 0.000
Cu: 0.000 0.000 0.500

[9]
The following is a PBE calculation of a relaxed SrThTe2 crystal, from Alexandria via LeMat-Bulk.

The calculation puts the total DFT energy (no corrections) at -5.145 eV/atom. The value obtained for the energy above the most stable polymorph in this dataset is 0 meV/atom. The formation energy without anion corrections is -1.30 eV/atom. The crystal system is trigonal.

Cell: 8.467 8.467 8.467 Å, 30.10 30.10 30.10°
Sites, in units of the cell vectors:
Sr: 0.000 0.000 0.000
Th: 0.500 0.500 0.500
Te: 0.248 0.248 0.248
Te: 0.752 0.752 0.752

[10]
The following is a PBE calculation of a relaxed Ce2PuSn3 crystal, from Alexandria via LeMat-Bulk.

The calculation puts the total DFT energy (no corrections) at -6.652 eV/atom. Its formation energy is -1.70 eV/f.u. The value obtained for the energy above the most stable polymorph in this dataset is 238 meV/atom. The crystal system is orthorhombic.

Cell: 7.587 7.587 7.587 Å, 144.33 130.60 62.41°
Sites, in units of the cell vectors:
Ce: 0.168 0.168 0.000
Ce: 0.832 0.832 0.000
Pu: 0.500 0.500 0.000
Sn: 0.000 0.500 0.500
Sn: 0.335 0.835 0.500
Sn: 0.665 0.165 0.500

[11]
The following is a PBE calculation of a relaxed Tb8CeTh4 crystal, from Alexandria via LeMat-Bulk.

The calculation puts the total DFT energy (no corrections) at -5.403 eV/atom. Its formation energy is 2.42 eV/f.u. The crystal system is trigonal.

Cell: 9.854 9.854 9.854 Å, 43.72 43.72 43.72°
Sites, in units of the cell vectors:
Tb: 0.195 0.745 0.745
Tb: 0.222 0.222 0.222
Tb: 0.255 0.255 0.805
Tb: 0.255 0.805 0.255
Tb: 0.745 0.195 0.745
Tb: 0.745 0.745 0.195
Tb: 0.778 0.778 0.778
Tb: 0.805 0.255 0.255
Ce: 0.500 0.500 0.500
Th: 0.000 0.000 0.000
Th: 0.000 0.500 0.500
Th: 0.500 0.000 0.500
Th: 0.500 0.500 0.000

[12]
The following is a PBE calculation of a relaxed Sr2Sn4Rh3Au crystal, from Alexandria via LeMat-Bulk.

The calculation puts the total DFT energy (no corrections) at -5.060 eV/atom. Its formation energy is -5.89 eV/f.u. The crystal system is tetragonal.

Cell: 4.722 4.722 10.532 Å, 90.00 90.00 90.00°
Sites, in units of the cell vectors:
Sr: 0.000 0.500 0.245
Sr: 0.500 0.000 0.755
Sn: 0.000 0.000 0.500
Sn: 0.000 0.500 0.870
Sn: 0.500 0.000 0.130
Sn: 0.500 0.500 0.500
Rh: 0.000 0.000 0.000
Rh: 0.000 0.500 0.622
Rh: 0.500 0.000 0.378
Au: 0.500 0.500 0.000

> What is the total DFT energy (no corrections) in the seventh record?

-4.683 eV/atom

> Which value of total DFT energy (no corrections) does entry 1 give?

-3.910 eV/atom

> Which value of total DFT energy (no corrections) does entry 10 give?

-6.652 eV/atom